PBE Ca2MnTc, optimized geometry; ΔH_f (0 K) = 702 meV/atom; total DFT energy (no corrections) = -5.182 eV/atom; DOS at the Fermi energy = 0.551 states/eV per atom; calculated volume = 21.89 Å³/atom
1.0
-2.364 -4.913 -0.296
2.219 -3.377 3.673
-2.055 5.042 0.421
Ca Tc Mn
2 1 1
Cartesian
-0.073 -4.145 1.688 Ca
0.000 0.000 0.000 Ca
-2.246 -2.008 0.907 Tc
0.046 -1.240 2.891 Mn